Density functional theory data (GGA-PBEsol) for crystalline CuTcP2 at its relaxed geometry.

Formation energy from the elements   -0.5 eV/f.u.
Crystal system   orthorhombic
Fermi-level density of states   0.6352 states/eV/atom

Lattice parameters (Å, degrees): 2.998 3.558 4.823 90.00 90.00 90.00
Space group Pmm2 (No. 25)
Inequivalent atoms, fractional coordinates:
Cu  0.000  0.000  0.000 (multiplicity 1)
Tc  0.500  0.500  0.654 (multiplicity 1)
P  0.000  0.000  0.498 (multiplicity 1)
P  0.500  0.500  0.150 (multiplicity 1)